Computed, not measured: RbNaZrTe3 after structural relaxation at the GGA-PBE level of DFT.

Magnetic moment (μB/cell): 0.01
Space group: Pnma (62)
E_tot (eV/atom): -4.28

Lattice parameters (Å, degrees): 16.3295 4.3394 11.9995 90.00 90.00 90.00
Positions (direct):
Te: 0.4041 0.7500 0.1509
Zr: 0.9857 0.2500 0.8355
Zr: 0.0143 0.7500 0.1645
Te: 0.4134 0.2500 0.4349
Te: 0.9134 0.2500 0.0651
Te: 0.0959 0.2500 0.6509
Te: 0.1338 0.2500 0.2171
Rb: 0.2341 0.7500 0.4543
Rb: 0.2659 0.2500 0.9543
Te: 0.9041 0.7500 0.3491
Na: 0.0229 0.2500 0.4107
Zr: 0.4857 0.2500 0.6645
Na: 0.5229 0.2500 0.0893
Te: 0.3662 0.7500 0.7171
Te: 0.5959 0.2500 0.8491
Te: 0.5866 0.7500 0.5651
Zr: 0.5143 0.7500 0.3355
Rb: 0.7341 0.7500 0.0457
Na: 0.4771 0.7500 0.9107
Te: 0.0866 0.7500 0.9349
Te: 0.8662 0.7500 0.7829
Rb: 0.7659 0.2500 0.5457
Te: 0.6338 0.2500 0.2829
Na: 0.9771 0.7500 0.5893

---

Computed, not measured: Hf2SnMo after structural relaxation at the GGA-PBE level of DFT.

Magnetic moment (μB/cell): 0.00
Space group: F-43m (216)
E_tot (eV/atom): -8.69

Lattice parameters (Å, degrees): 4.7997 4.7997 4.7997 60.00 60.00 60.00
Positions (direct):
Hf: 0.7500 0.7500 0.7500
Mo: 0.2500 0.2500 0.2500
Hf: 0.0000 0.0000 0.0000
Sn: 0.5000 0.5000 0.5000

---

Computed, not measured: SmPbAuSe3 after structural relaxation at the GGA-PBE level of DFT.

Magnetic moment (μB/cell): 0.00
Space group: Cmcm (63)
E_tot (eV/atom): -4.63

Lattice parameters (Å, degrees): 7.2765 7.2765 10.8478 90.00 90.00 146.95
Positions (direct):
Se: 0.0922 0.9078 0.2500
Au: 0.4680 0.5320 0.2500
Se: 0.6456 0.3544 0.9431
Se: 0.6456 0.3544 0.5569
Se: 0.3544 0.6456 0.0570
Se: 0.3544 0.6456 0.4430
Pb: 0.7702 0.2298 0.2500
Sm: 0.0000 0.0000 0.5000
Se: 0.9078 0.0922 0.7500
Au: 0.5320 0.4680 0.7500
Pb: 0.2298 0.7702 0.7500
Sm: 0.0000 0.0000 0.0000

---

> Which of these has the lowest E_tot?

Hf2SnMo

---

> The highest E_tot belongs to which entry?

RbNaZrTe3